# 1
This record from OQMD via LeMat-Bulk describes a geometry-optimized BaNbMo structure. The functional is GGA-PBE.

Computed properties:
The value obtained for the total magnetization is 0.1 μB per cell. For the energy above the lowest structure with this stoichiometry, the calculation gives 0.000 kcal/mol of atoms. The value obtained for the energy is -6.236 eV/atom.

POSCAR file:
```
BaNbMo
1.0
2.774 1.488 3.600
-0.787 4.262 2.021
-1.770 0.252 4.435
Nb Mo Ba
1 1 1
direct
0.750 0.750 0.750 Nb
0.000 0.000 0.000 Mo
0.250 0.250 0.250 Ba
```

# 2
This record from OQMD via LeMat-Bulk describes a geometry-optimized LiZrGaPd structure. The functional is GGA-PBE.

Computed properties:
The value obtained for the total magnetization is 0.0 μB per cell. For the energy above the lowest structure with this stoichiometry, the calculation gives 2.548 kcal/mol of atoms. The value obtained for the energy is -5.185 eV/atom.

POSCAR file:
```
LiZrGaPd
1.0
0.000 3.227 3.227
3.227 0.000 3.227
3.227 3.227 0.000
Li Ga Pd Zr
1 1 1 1
direct
0.750 0.750 0.750 Li
0.000 0.000 0.000 Ga
0.500 0.500 0.500 Pd
0.250 0.250 0.250 Zr
```

# 3
This record from OQMD via LeMat-Bulk describes a geometry-optimized CsNiSb structure. The functional is GGA-PBE.

Computed properties:
The value obtained for the total magnetization is 1.7 μB per cell. The value obtained for the energy is -2.904 eV/atom.

POSCAR file:
```
CsNiSb
1.0
0.000 3.596 3.596
3.596 0.000 3.596
3.596 3.596 0.000
Ni Cs Sb
1 1 1
direct
0.000 0.000 0.000 Ni
0.250 0.250 0.250 Cs
0.750 0.750 0.750 Sb
```

# 4
This record from OQMD via LeMat-Bulk describes a geometry-optimized HgTeO3 structure. The functional is GGA-PBE.

Computed properties:
The value obtained for the energy is -3.960 eV/atom.

POSCAR file:
```
HgTeO3
1.0
-4.332 -4.222 0.134
-1.958 -2.551 -5.125
1.304 -5.775 -1.246
Te O Hg
2 6 2
direct
0.250 0.250 0.250 Te
0.750 0.750 0.750 Te
0.250 0.583 0.917 O
0.583 0.917 0.250 O
0.750 0.417 0.083 O
0.083 0.750 0.417 O
0.917 0.250 0.583 O
0.417 0.083 0.750 O
0.500 0.500 0.500 Hg
0.000 0.000 0.000 Hg
```

# 5
This record from OQMD via LeMat-Bulk describes a geometry-optimized SrTl2Cu structure. The functional is GGA-PBE.

Computed properties:
The value obtained for the energy is -2.560 eV/atom.

POSCAR file:
```
SrTl2Cu
1.0
0.000 3.762 3.762
3.762 0.000 3.762
3.762 3.762 0.000
Tl Cu Sr
2 1 1
direct
0.000 0.000 0.000 Tl
0.750 0.750 0.750 Tl
0.250 0.250 0.250 Cu
0.500 0.500 0.500 Sr
```

# 6
This record from OQMD via LeMat-Bulk describes a geometry-optimized ZrBeGe2 structure. The functional is GGA-PBE.

Computed properties:
The value obtained for the total magnetization is 0.0 μB per cell. The value obtained for the energy is -5.068 eV/atom.

POSCAR file:
```
ZrBeGe2
1.0
-2.506 1.603 3.542
0.302 4.452 1.219
-3.550 2.858 -0.785
Ge Zr Be
2 1 1
direct
0.250 0.250 0.250 Ge
0.000 0.000 0.000 Ge
0.500 0.500 0.500 Zr
0.750 0.750 0.750 Be
```

# 7
This record from OQMD via LeMat-Bulk describes a geometry-optimized RbHfFe structure. The functional is GGA-PBE.

Computed properties:
The value obtained for the total magnetization is 2.7 μB per cell. For the energy above the lowest structure with this stoichiometry, the calculation gives 19.362 kcal/mol of atoms. The value obtained for the energy is -3.948 eV/atom.

POSCAR file:
```
RbHfFe
1.0
3.485 -0.683 3.354
-0.053 -4.004 2.797
3.368 -3.478 -0.650
Fe Hf Rb
1 1 1
direct
0.250 0.250 0.250 Fe
0.750 0.750 0.750 Hf
0.000 0.000 0.000 Rb
```

# 8
This record from OQMD via LeMat-Bulk describes a geometry-optimized PrMgAs structure. The functional is GGA-PBE.

Computed properties:
The value obtained for the total magnetization is 0.0 μB per cell. For the energy above the lowest structure with this stoichiometry, the calculation gives 1.196 kcal/mol of atoms. The value obtained for the energy is -3.848 eV/atom.

POSCAR file:
```
PrMgAs
1.0
1.923 -2.637 -3.488
2.738 -3.762 1.082
-1.599 -4.429 -0.805
As Mg Pr
1 1 1
direct
0.250 0.250 0.250 As
0.000 0.000 0.000 Mg
0.750 0.750 0.750 Pr
```

# 9
This record from OQMD via LeMat-Bulk describes a geometry-optimized RbCoCuTc structure. The functional is GGA-PBE.

Computed properties:
The value obtained for the total magnetization is 3.9 μB per cell. For the energy above the lowest structure with this stoichiometry, the calculation gives 0.000 kcal/mol of atoms. The value obtained for the energy is -4.034 eV/atom.

POSCAR file:
```
RbCoCuTc
1.0
-1.552 -4.322 0.913
-4.145 -1.401 -1.669
-0.189 -3.191 -3.421
Rb Co Cu Tc
1 1 1 1
direct
0.500 0.500 0.500 Rb
0.250 0.250 0.250 Co
0.750 0.750 0.750 Cu
0.000 0.000 0.000 Tc
```

# 10
This record from OQMD via LeMat-Bulk describes a geometry-optimized PmNdTl structure. The functional is GGA-PBE.

Computed properties:
The value obtained for the total magnetization is 0.9 μB per cell. For the energy above the lowest structure with this stoichiometry, the calculation gives 0.000 kcal/mol of atoms. The value obtained for the energy is -4.014 eV/atom.

POSCAR file:
```
PmNdTl
1.0
4.238 -2.890 -1.322
-0.288 -5.289 0.028
0.057 -2.680 -4.569
Nd Tl Pm
1 1 1
direct
0.250 0.250 0.250 Nd
0.000 0.000 0.000 Tl
0.750 0.750 0.750 Pm
```

# 11
This record from OQMD via LeMat-Bulk describes a geometry-optimized Tm2LuScIn2 structure. The functional is GGA-PBE.

Computed properties:
The value obtained for the total magnetization is 0.7 μB per cell. The value obtained for the energy is -4.550 eV/atom.

POSCAR file:
```
Tm2LuScIn2
1.0
5.249 0.000 0.000
-2.625 4.546 0.000
0.000 0.000 6.533
Tm Lu In Sc
2 1 2 1
direct
0.333 0.667 0.760 Tm
0.667 0.333 0.240 Tm
0.000 0.000 0.500 Lu
0.333 0.667 0.254 In
0.667 0.333 0.746 In
0.000 0.000 0.000 Sc
```

# 12
This record from OQMD via LeMat-Bulk describes a geometry-optimized SmCdSb structure. The functional is GGA-PBE.

Computed properties:
The value obtained for the total magnetization is 0.0 μB per cell. For the energy above the lowest structure with this stoichiometry, the calculation gives 0.000 kcal/mol of atoms. The value obtained for the energy is -3.643 eV/atom.

POSCAR file:
```
SmCdSb
1.0
0.000 3.646 3.646
3.646 0.000 3.646
3.646 3.646 0.000
Sb Sm Cd
1 1 1
direct
0.750 0.750 0.750 Sb
0.000 0.000 0.000 Sm
0.250 0.250 0.250 Cd
```